The following is a DFT calculation (PBE-GGA) of an optimized crystal structure of La3GeC.

Geometry as POSCAR:
```
La3GeC
1.0
-3.4679 3.4679 5.8299
3.4679 -3.4679 5.8299
3.4679 3.4679 -5.8299
La Ge C
6 2 2
Cartesian
2.3238 1.2883 0.0000
0.0000 0.0000 2.8331
2.1796 -1.1441 5.8299
1.2883 4.6119 0.0000
0.0000 0.0000 8.8267
1.1441 2.1796 5.8299
3.4679 0.0000 2.9150
0.0000 3.4679 2.9150
0.0000 0.0000 5.1208
0.0000 0.0000 6.5391
```

## Properties
space-group type: No. 87
energy relative to the elements: -0.3523 eV/atom

The following is a DFT calculation (PBE-GGA) of an optimized crystal structure of Be2CdSn.

Geometry as POSCAR:
```
Be2CdSn
1.0
-2.1172 2.1172 8.2148
2.1172 -2.1172 8.2148
2.1172 2.1172 -8.2148
Be Cd Sn
4 2 2
Cartesian
3.1758 0.9302 -2.0537
0.9302 1.0586 2.0537
-1.0586 1.1870 6.1611
1.1870 1.0586 10.2685
0.0000 0.0000 0.0000
0.0000 2.1172 4.1074
2.1172 0.0000 4.1074
0.0000 0.0000 8.2148
```

## Properties
space-group type: No. 122
distance to the lowest polymorph of the same formula: 0 meV per atom
energy relative to the elements: 0.5719 eV/atom

The following is a DFT calculation (PBE-GGA) of an optimized crystal structure of CsBaPO2.

Geometry as POSCAR:
```
CsBaPO2
1.0
4.7091 0.0000 0.0000
0.0000 4.7091 0.0000
0.0000 0.0000 5.5266
Cs Ba P O
1 1 1 2
Cartesian
0.0000 0.0000 0.0000
2.3545 2.3545 2.7633
0.0000 0.0000 2.7633
0.0000 2.3545 0.0000
2.3545 0.0000 0.0000
```

## Properties
raw formation energy: -0.0271 eV per atom
space-group type: No. 123

The following is a DFT calculation (PBE-GGA) of an optimized crystal structure of CuIr3Rh.

Geometry as POSCAR:
```
CuIr3Rh
1.0
4.4295 0.0000 0.0000
0.0000 4.4295 0.0000
0.0000 0.0000 4.4295
Cu Ir Rh
1 3 1
Cartesian
0.0000 0.0000 0.0000
0.0000 0.0000 2.2147
0.0000 2.2147 0.0000
2.2147 0.0000 0.0000
2.2147 2.2147 2.2147
```

## Properties
space-group type: No. 221
distance to the lowest polymorph of the same formula: 0 meV per atom
energy relative to the elements: 1.7454 eV/atom

The following is a DFT calculation (PBE-GGA) of an optimized crystal structure of Mg2Ta2In.

Geometry as POSCAR:
```
Mg2Ta2In
1.0
7.8903 0.0000 0.0000
0.0000 7.8903 0.0000
0.0000 0.0000 3.1616
Mg Ta In
4 4 2
Cartesian
0.9474 2.9978 0.0000
2.9978 6.9430 0.0000
4.8925 0.9474 0.0000
6.9430 4.8925 0.0000
1.4028 5.3479 1.5808
2.5424 1.4028 1.5808
5.3479 6.4876 1.5808
6.4876 2.5424 1.5808
0.0000 0.0000 0.0000
3.9452 3.9452 0.0000
```

## Properties
space-group type: No. 127
distance to the lowest polymorph of the same formula: 121 meV per atom
energy relative to the elements: 0.6904 eV/atom

The following is a DFT calculation (PBE-GGA) of an optimized crystal structure of ReTc2Sb.

Geometry as POSCAR:
```
ReTc2Sb
1.0
1.4706 0.8491 8.7166
-1.4706 0.8491 8.7166
0.0000 -1.6981 8.7166
Re Tc Sb
1 2 1
Cartesian
0.0000 0.0000 0.0000
0.0000 0.0000 6.6209
0.0000 0.0000 19.5288
0.0000 0.0000 13.0749
```

## Properties
raw formation energy: 0.3103 eV per atom
space-group type: No. 166

What are the VASP energy values for these records? In order: -6.077, -2.521, -3.648, -5.861, -5.236, -9.015 eV/atom.